(1)
Material: Ba2TlRu
Method: DFT, PBE
State: optimized geometry

Cell: 3.8758 3.8758 9.4636 Å, 90.00 90.00 90.00°
Closest atoms and distances in Å follow each position.
Element x y z (fractional)
Ba (0.0000, 0.0000, 0.0000)  1 Ru 3.11
Ba (0.5000, 0.5000, 0.4273)  1 Tl 3.25, 4 Ru 3.58
Tl (0.5000, 0.5000, 0.7707)  4 Ru 2.90
Ru (0.0000, 0.0000, 0.6713)  4 Tl 2.90, 1 Ba 3.11

Summary:
Energy relative to the lowest polymorph listed for this composition = 0.1600 eV per atom
Crystal system = tetragonal
Energy relative to the elements = 0.25 eV per atom
Size of the total moment = 0.2041 μB per atom
Space-group type = P4mm

(2)
Material: Ba2TlRu
Method: DFT, PBE
State: optimized geometry

Cell: 5.8603 5.8603 5.8603 Å, 128.58 128.58 75.68°
Closest atoms and distances in Å follow each position.
Element x y z (fractional)
Ba (0.0000, 0.0000, 0.0000)  4 Ba 3.44, 4 Ru 3.44, 4 Tl 3.60
Ba (0.7500, 0.2500, 0.5000)  4 Ba 3.44, 4 Tl 3.44, 4 Ru 3.60
Tl (0.5000, 0.5000, 0.0000)  8 Ba 3.44-3.60, 4 Ru 3.44
Ru (0.2500, 0.7500, 0.5000)  8 Ba 3.44-3.60, 4 Tl 3.44

Summary:
Energy relative to the lowest polymorph listed for this composition = 0.3221 eV per atom
Crystal system = tetragonal
Energy relative to the elements = 0.42 eV per atom
Size of the total moment = 0.0003 μB per atom
Space-group type = I-4m2

(3)
Material: Ba2TlRu
Method: DFT, PBE
State: optimized geometry

Cell: 6.8135 6.8135 6.8135 Å, 146.94 130.77 60.59°
Closest atoms and distances in Å follow each position.
Element x y z (fractional)
Ba (0.0000, 0.0000, 0.0000)  2 Ru 3.28, 2 Ba 3.60, 4 Tl 3.67
Ba (0.6886, 0.1886, 0.5000)  4 Ru 3.46, 4 Ba 3.60-3.88, 2 Tl 3.70
Tl (0.3904, 0.3904, 0.0000)  2 Ru 2.75
Ru (0.2251, 0.7251, 0.5000)  2 Tl 2.75

Summary:
Energy relative to the lowest polymorph listed for this composition = 0.1128 eV per atom
Crystal system = orthorhombic
Energy relative to the elements = 0.21 eV per atom
Size of the total moment = 0.0000 μB per atom
Space-group type = Imm2

(4)
Material: BaTlRu2
Method: DFT, PBE
State: optimized geometry

Cell: 4.9532 4.9532 4.9532 Å, 120.07 120.07 89.87°
Closest atoms and distances in Å follow each position.
Element x y z (fractional)
Ba (0.0000, 0.0000, 0.0000)  8 Ru 3.03
Tl (0.5000, 0.5000, 0.0000)  8 Ru 3.03
Ru (0.2500, 0.7500, 0.5000)  4 Tl 3.03, 4 Ba 3.03
Ru (0.7500, 0.2500, 0.5000)  4 Tl 3.03, 4 Ba 3.03

Summary:
Energy relative to the lowest polymorph listed for this composition = 0.6278 eV per atom
Crystal system = tetragonal
Energy relative to the elements = 0.87 eV per atom
Size of the total moment = 0.3753 μB per atom
Space-group type = I4/mmm

(5)
Material: BaTlRu2
Method: DFT, PBE
State: optimized geometry

Cell: 4.6912 4.6912 6.3961 Å, 111.44 111.44 60.06°
Closest atoms and distances in Å follow each position.
Element x y z (fractional)
Ba (0.0000, 0.0000, 0.0000)  2 Ru 3.06
Tl (0.5000, 0.5000, 0.5000)  6 Ru 2.71
Ru (0.1756, 0.1756, 0.5275)  3 Tl 2.71, 3 Ru 2.72-2.73
Ru (0.8244, 0.8244, 0.4725)  3 Tl 2.71, 3 Ru 2.72-2.73

Summary:
Energy relative to the lowest polymorph listed for this composition = 0.0719 eV per atom
Crystal system = monoclinic
Energy relative to the elements = 0.31 eV per atom
Size of the total moment = 0.1847 μB per atom
Space-group type = C2/m

(6)
Material: BaTlRu2
Method: DFT, PBE
State: optimized geometry

Cell: 7.3683 7.3683 7.3683 Å, 33.46 33.46 33.46°
Closest atoms and distances in Å follow each position.
Element x y z (fractional)
Ba (0.0000, 0.0000, 0.0000)  6 Ru 3.47-3.48, 3 Tl 3.66
Tl (0.7973, 0.7973, 0.7973)  6 Ru 3.01-3.02
Ru (0.2157, 0.2157, 0.2157)  3 Ru 2.45
Ru (0.5481, 0.5481, 0.5481)  3 Ru 2.45

Summary:
Energy relative to the lowest polymorph listed for this composition = 0.0000 eV per atom
Crystal system = trigonal
Energy relative to the elements = 0.24 eV per atom
Size of the total moment = 0.0000 μB per atom
Space-group type = R3m

(7)
Material: BaTlRu2
Method: DFT, PBE
State: optimized geometry

Cell: 5.8519 5.8519 5.8519 Å, 137.80 137.80 61.21°
Closest atoms and distances in Å follow each position.
Element x y z (fractional)
Ba (0.0000, 0.0000, 0.0000)  8 Ru 2.98-3.28, 4 Tl 3.28
Tl (0.7500, 0.2500, 0.5000)  8 Ru 2.98-3.28, 4 Ba 3.28
Ru (0.2500, 0.7500, 0.5000)  4 Tl 2.98, 4 Ba 3.28, 4 Ru 3.28
Ru (0.5000, 0.5000, 0.0000)  4 Ba 2.98, 4 Tl 3.28, 4 Ru 3.28

Summary:
Energy relative to the lowest polymorph listed for this composition = 0.6971 eV per atom
Crystal system = tetragonal
Energy relative to the elements = 0.94 eV per atom
Size of the total moment = 0.7067 μB per atom
Space-group type = I-4m2

(8)
Material: BaTlRu2
Method: DFT, PBE
State: optimized geometry

Cell: 5.6210 5.6210 5.6210 Å, 144.53 119.42 72.20°
Closest atoms and distances in Å follow each position.
Element x y z (fractional)
Ba (0.0000, 0.0000, 0.0000)  4 Ru 2.93
Tl (0.5000, 0.5000, 0.0000)  4 Ru 2.76
Ru (0.2622, 0.7622, 0.5000)  2 Tl 2.76, 2 Ba 2.93
Ru (0.7378, 0.2378, 0.5000)  2 Tl 2.76, 2 Ba 2.93

Summary:
Energy relative to the lowest polymorph listed for this composition = 0.7025 eV per atom
Crystal system = orthorhombic
Energy relative to the elements = 0.94 eV per atom
Size of the total moment = 0.0000 μB per atom
Space-group type = Immm

(9)
Material: Ba2TlRu
Method: DFT, PBE
State: optimized geometry

Cell: 5.5341 5.5341 4.2740 Å, 90.00 90.00 90.00°
Closest atoms and distances in Å follow each position.
Element x y z (fractional)
Ba (0.0000, 0.5000, 0.0000)  4 Ru 3.50, 4 Tl 3.50, 4 Ba 3.91
Ba (0.5000, 0.0000, 0.0000)  4 Ru 3.50, 4 Tl 3.50, 4 Ba 3.91
Tl (0.0000, 0.0000, 0.5000)  8 Ba 3.50, 4 Ru 3.91
Ru (0.5000, 0.5000, 0.5000)  8 Ba 3.50, 4 Tl 3.91

Summary:
Energy relative to the lowest polymorph listed for this composition = 0.2747 eV per atom
Crystal system = tetragonal
Energy relative to the elements = 0.37 eV per atom
Size of the total moment = 0.2075 μB per atom
Space-group type = P4/mmm

(10)
Material: Ba2TlRu
Method: DFT, PBE
State: optimized geometry

Cell: 10.2340 10.2340 10.2340 Å, 22.71 22.71 22.71°
Closest atoms and distances in Å follow each position.
Element x y z (fractional)
Ba (0.2349, 0.2349, 0.2349)  3 Ru 3.09
Ba (0.7651, 0.7651, 0.7651)  3 Ru 3.09
Tl (0.0000, 0.0000, 0.0000)  6 Ba 3.75, 6 Tl 4.03
Ru (0.5000, 0.5000, 0.5000)  6 Ba 3.09

Summary:
Energy relative to the lowest polymorph listed for this composition = 0.3159 eV per atom
Crystal system = trigonal
Energy relative to the elements = 0.41 eV per atom
Size of the total moment = 0.0006 μB per atom
Space-group type = R-3m

(11)
Material: Ba2TlRu
Method: DFT, PBE
State: optimized geometry

Cell: 3.8401 3.8822 8.7184 Å, 90.00 90.00 90.00°
Closest atoms and distances in Å follow each position.
Element x y z (fractional)
Ba (0.0000, 0.0000, 0.2106)  4 Ru 3.29, 1 Ba 3.67
Ba (0.0000, 0.0000, 0.7894)  4 Ru 3.29, 1 Ba 3.67
Tl (0.5000, 0.5000, 0.5000)  8 Ba 3.72, 4 Tl 3.84-3.88
Ru (0.5000, 0.5000, 0.0000)  8 Ba 3.29

Summary:
Energy relative to the lowest polymorph listed for this composition = 0.1681 eV per atom
Crystal system = orthorhombic
Energy relative to the elements = 0.26 eV per atom
Size of the total moment = 0.0000 μB per atom
Space-group type = Pmmm

(12)
Material: Ba2TlRu
Method: DFT, PBE
State: optimized geometry

Cell: 4.4344 4.4344 9.5744 Å, 97.69 97.69 49.52°
Closest atoms and distances in Å follow each position.
Element x y z (fractional)
Ba (0.2380, 0.2380, 0.1969)  3 Ru 3.03-3.10
Ba (0.7620, 0.7620, 0.8031)  3 Ru 3.03-3.10
Tl (0.0000, 0.0000, 0.5000)  6 Ba 3.71-3.81, 2 Tl 3.71
Ru (0.5000, 0.5000, 0.0000)  6 Ba 3.03-3.10

Summary:
Energy relative to the lowest polymorph listed for this composition = 0.3027 eV per atom
Crystal system = monoclinic
Energy relative to the elements = 0.40 eV per atom
Size of the total moment = 0.0002 μB per atom
Space-group type = C2/m